--- i ---
## TaSb2TeF (PBE-GGA)

Data for a geometry-optimized TaSb2TeF structure.

Computed properties:
For the calculated volume, the calculation gives 29.86 Å³/atom. Its space group is No. 123. The density of states at the Fermi level is 2.33 states/eV per cell.

POSCAR file:
```
TaSb2TeF
1.0
5.320 0.000 0.000
0.000 5.320 0.000
0.000 0.000 5.275
Ta Sb Te F
1 2 1 1
direct
0.000 0.000 0.000
0.000 0.500 0.000
0.500 0.000 0.000
0.000 0.000 0.500
0.500 0.500 0.500
```


--- ii ---
## TaSb2TeF (PBE-GGA)

Data for a geometry-optimized TaSb2TeF structure.

Computed properties:
For the calculated volume, the calculation gives 22.55 Å³/atom. Its space group is No. 123. The density of states at the Fermi level is 3.59 states/eV per cell.

POSCAR file:
```
TaSb2TeF
1.0
4.607 0.000 0.000
0.000 4.607 0.000
0.000 0.000 5.311
Ta Sb Te F
1 2 1 1
direct
0.000 0.000 0.000
0.000 0.500 0.500
0.500 0.000 0.500
0.500 0.500 0.000
0.500 0.500 0.500
```


Verdict on stability: ii comes out at the bottom.


--- i ---
## TaSbTe2F (PBE-GGA)

Data for a geometry-optimized TaSbTe2F structure.

Computed properties:
For the calculated volume, the calculation gives 30.19 Å³/atom. Its space group is No. 123. The density of states at the Fermi level is 3.29 states/eV per cell.

POSCAR file:
```
TaSbTe2F
1.0
5.300 0.000 0.000
0.000 5.300 0.000
0.000 0.000 5.373
Ta Sb Te F
1 1 2 1
direct
0.000 0.000 0.000
0.000 0.000 0.500
0.000 0.500 0.000
0.500 0.000 0.000
0.500 0.500 0.500
```


--- ii ---
## TaSbTe2F (PBE-GGA)

Data for a geometry-optimized TaSbTe2F structure.

Computed properties:
For the calculated volume, the calculation gives 23.03 Å³/atom. Its space group is No. 123. The density of states at the Fermi level is 5.32 states/eV per cell.

POSCAR file:
```
TaSbTe2F
1.0
5.145 0.000 0.000
0.000 5.145 0.000
0.000 0.000 4.350
Ta Sb Te F
1 1 2 1
direct
0.000 0.000 0.000
0.500 0.500 0.000
0.000 0.500 0.500
0.500 0.000 0.500
0.500 0.500 0.500
```


Verdict on stability: ii comes out at the bottom.